Li2MoF | Alexandria via LeMat-Bulk | PBE with a Hubbard U | relaxed; E above lowest polymorph = 0.661 eV per atom; uncorrected energy = -3.24 eV/atom; D(E_F) = 0.61 states/eV/f.u.; space-group type = Fm-3m, No. 225
1.0
0.0000 3.3493 3.3493
3.3493 0.0000 3.3493
3.3493 3.3493 0.0000
Li Mo F
2 1 1
Cartesian
1.6747 1.6747 1.6747
5.0240 5.0240 5.0240
0.0000 0.0000 0.0000
3.3493 3.3493 3.3493